[1]
Density functional theory data (PBE) for an optimized crystal structure of EuEr2Pb.

Unit cell a=3.5576 b=3.5576 c=36.6106 alpha=90.00 beta=90.00 gamma=120.00
Space group R-3m (No. 166, hexagonal axes)
Asymmetric unit:
Eu: 0.0000 0.0000 0.0000
Er: 0.0000 0.0000 0.4144
Pb: 0.0000 0.0000 0.5000

Calculated values
Raw total energy ... -5.660 eV/atom



[2]
Density functional theory data (PBE) for an optimized crystal structure of EuErPb2.

Unit cell a=5.123 b=5.123 c=4.491 alpha=90.00 beta=90.00 gamma=90.00
Space group P4/mmm (No. 123)
Asymmetric unit:
Eu: 0.000 0.000 0.000
Er: 0.500 0.500 0.000
Pb: 0.000 0.500 0.500

Calculated values
Raw total energy ... -5.995 eV/atom



[3]
Density functional theory data (PBE) for an optimized crystal structure of EuErPb.

Unit cell a=4.102 b=4.102 c=11.105 alpha=90.00 beta=90.00 gamma=90.00
Space group I4mm (No. 107)
Asymmetric unit:
Eu: 0.000 0.000 0.000
Er: 0.000 0.000 0.305
Pb: 0.000 0.000 0.671

Calculated values
Raw total energy ... -6.441 eV/atom



[4]
Density functional theory data (PBE) for an optimized crystal structure of EuEr2Pb.

Unit cell a=3.622 b=3.622 c=9.624 alpha=90.00 beta=90.00 gamma=90.00
Space group P4/mmm (No. 123)
Asymmetric unit:
Eu: 0.000 0.000 0.000
Er: 0.500 0.500 0.280
Pb: 0.000 0.000 0.500

Calculated values
Raw total energy ... -5.920 eV/atom



[5]
Density functional theory data (PBE) for an optimized crystal structure of EuEr2Pb.

Unit cell a=4.946 b=4.946 c=4.822 alpha=90.00 beta=90.00 gamma=90.00
Space group P4/mmm (No. 123)
Asymmetric unit:
Eu: 0.000 0.000 0.000
Er: 0.000 0.500 0.500
Pb: 0.500 0.500 0.000

Calculated values
Raw total energy ... -6.013 eV/atom



[6]
Density functional theory data (PBE) for an optimized crystal structure of EuErPb2.

Unit cell a=4.045 b=4.045 c=7.348 alpha=90.00 beta=90.00 gamma=90.00
Space group P4/mmm (No. 123)
Asymmetric unit:
Eu: 0.000 0.000 0.000
Er: 0.000 0.000 0.500
Pb: 0.500 0.500 0.272

Calculated values
Raw total energy ... -6.017 eV/atom



[7]
Density functional theory data (PBE) for an optimized crystal structure of EuErPb.

Unit cell a=7.533 b=7.533 c=7.533 alpha=90.00 beta=90.00 gamma=90.00
Space group F-43m (No. 216)
Asymmetric unit:
Eu: 0.000 0.000 0.000
Er: 0.000 0.000 0.500
Pb: 0.250 0.250 0.250

Calculated values
Raw total energy ... -6.421 eV/atom



[8]
Density functional theory data (PBE) for an optimized crystal structure of EuErPdPb.

Unit cell a=7.463 b=7.463 c=7.463 alpha=90.00 beta=90.00 gamma=90.00
Space group F-43m (No. 216)
Asymmetric unit:
Eu: 0.000 0.000 0.000
Er: 0.000 0.000 0.500
Pd: 0.250 0.250 0.750
Pb: 0.250 0.250 0.250

Calculated values
Raw total energy ... -6.481 eV/atom



[9]
Density functional theory data (PBE) for an optimized crystal structure of EuErPtPb.

Unit cell a=7.417 b=7.417 c=7.417 alpha=90.00 beta=90.00 gamma=90.00
Space group F-43m (No. 216)
Asymmetric unit:
Eu: 0.000 0.000 0.000
Er: 0.000 0.000 0.500
Pt: 0.250 0.250 0.750
Pb: 0.250 0.250 0.250

Calculated values
Raw total energy ... -6.795 eV/atom



[10]
Density functional theory data (PBE) for an optimized crystal structure of EuErTlPb.

Unit cell a=7.771 b=7.771 c=7.771 alpha=90.00 beta=90.00 gamma=90.00
Space group F-43m (No. 216)
Asymmetric unit:
Eu: 0.000 0.000 0.000
Er: 0.000 0.000 0.500
Tl: 0.250 0.250 0.250
Pb: 0.250 0.250 0.750

Calculated values
Raw total energy ... -5.616 eV/atom



[11]
Density functional theory data (PBE) for an optimized crystal structure of EuErZnPb.

Unit cell a=7.560 b=7.560 c=7.560 alpha=90.00 beta=90.00 gamma=90.00
Space group F-43m (No. 216)
Asymmetric unit:
Eu: 0.000 0.000 0.000
Er: 0.000 0.000 0.500
Zn: 0.250 0.250 0.750
Pb: 0.250 0.250 0.250

Calculated values
Raw total energy ... -5.314 eV/atom



[12]
Density functional theory data (PBE) for an optimized crystal structure of EuEr2Pd.

Unit cell a=4.0041 b=4.0041 c=28.0233 alpha=90.00 beta=90.00 gamma=120.00
Space group R-3m (No. 166, hexagonal axes)
Asymmetric unit:
Eu: 0.0000 0.0000 0.0000
Er: 0.0000 0.0000 0.2220
Pd: 0.0000 0.0000 0.5000

Calculated values
Raw total energy ... -6.458 eV/atom